# CaLa2ReCl, relaxed, DFT GGA-PBE
data_CaLa2ReCl
_chemical_formula_sum 'Ca1 La2 Re1 Cl1'
_symmetry_space_group_name_H-M 'P 4/m m m'
_symmetry_Int_Tables_number 123
_symmetry_space_group_name_Hall '-P 4 2'
_cell_length_a 5.381
_cell_length_b 5.381
_cell_length_c 6.085
_cell_angle_alpha 90.00
_cell_angle_beta 90.00
_cell_angle_gamma 90.00
loop_
_atom_site_label
_atom_site_type_symbol
_atom_site_fract_x
_atom_site_fract_y
_atom_site_fract_z
Ca1 Ca 0.000 0.000 0.000
La1 La 0.000 0.500 0.500
Re1 Re 0.000 0.000 0.500
Cl1 Cl 0.500 0.500 0.000
# formation energy without anion corrections	-134	meV per atom

# Ca2La4Sn3Cl2, relaxed, DFT GGA-PBE
data_Ca2La4Sn3Cl2
_chemical_formula_sum 'Ca4 La8 Sn6 Cl4'
_symmetry_space_group_name_H-M 'I 4/m m m'
_symmetry_Int_Tables_number 139
_symmetry_space_group_name_Hall '-I 4 2'
_cell_length_a 5.432
_cell_length_b 5.432
_cell_length_c 25.519
_cell_angle_alpha 90.00
_cell_angle_beta 90.00
_cell_angle_gamma 90.00
loop_
_atom_site_label
_atom_site_type_symbol
_atom_site_fract_x
_atom_site_fract_y
_atom_site_fract_z
Ca1 Ca 0.000 0.000 0.213
La1 La 0.000 0.500 0.080
Sn1 Sn 0.000 0.000 0.335
Sn2 Sn 0.000 0.000 0.500
Cl1 Cl 0.000 0.000 0.104
# formation energy without anion corrections	-912	meV per atom

# CaLaTl2Cl, relaxed, DFT GGA-PBE
data_CaLaTl2Cl
_chemical_formula_sum 'Ca1 La1 Tl2 Cl1'
_symmetry_space_group_name_H-M 'P 4/m m m'
_symmetry_Int_Tables_number 123
_symmetry_space_group_name_Hall '-P 4 2'
_cell_length_a 5.767
_cell_length_b 5.767
_cell_length_c 5.379
_cell_angle_alpha 90.00
_cell_angle_beta 90.00
_cell_angle_gamma 90.00
loop_
_atom_site_label
_atom_site_type_symbol
_atom_site_fract_x
_atom_site_fract_y
_atom_site_fract_z
Ca1 Ca 0.000 0.000 0.000
La1 La 0.500 0.500 0.000
Tl1 Tl 0.000 0.500 0.500
Cl1 Cl 0.500 0.500 0.500
# formation energy without anion corrections	-367	meV per atom

# CaLa2YCl, relaxed, DFT GGA-PBE
data_CaLa2YCl
_chemical_formula_sum 'Ca1 La2 Y1 Cl1'
_symmetry_space_group_name_H-M 'P 4/m m m'
_symmetry_Int_Tables_number 123
_symmetry_space_group_name_Hall '-P 4 2'
_cell_length_a 5.679
_cell_length_b 5.679
_cell_length_c 5.277
_cell_angle_alpha 90.00
_cell_angle_beta 90.00
_cell_angle_gamma 90.00
loop_
_atom_site_label
_atom_site_type_symbol
_atom_site_fract_x
_atom_site_fract_y
_atom_site_fract_z
Ca1 Ca 0.000 0.000 0.000
La1 La 0.000 0.500 0.500
Y1 Y 0.500 0.500 0.000
Cl1 Cl 0.500 0.500 0.500
# formation energy without anion corrections	-527	meV per atom

# CaLa2ZnCl, relaxed, DFT GGA-PBE
data_CaLa2ZnCl
_chemical_formula_sum 'Ca1 La2 Zn1 Cl1'
_symmetry_space_group_name_H-M 'P 4/m m m'
_symmetry_Int_Tables_number 123
_symmetry_space_group_name_Hall '-P 4 2'
_cell_length_a 5.492
_cell_length_b 5.492
_cell_length_c 5.193
_cell_angle_alpha 90.00
_cell_angle_beta 90.00
_cell_angle_gamma 90.00
loop_
_atom_site_label
_atom_site_type_symbol
_atom_site_fract_x
_atom_site_fract_y
_atom_site_fract_z
Ca1 Ca 0.000 0.000 0.000
La1 La 0.000 0.500 0.500
Zn1 Zn 0.500 0.500 0.000
Cl1 Cl 0.000 0.000 0.500
# formation energy without anion corrections	-441	meV per atom

# CaLa2ZrCl, relaxed, DFT GGA-PBE
data_CaLa2ZrCl
_chemical_formula_sum 'Ca1 La2 Zr1 Cl1'
_symmetry_space_group_name_H-M 'P 4/m m m'
_symmetry_Int_Tables_number 123
_symmetry_space_group_name_Hall '-P 4 2'
_cell_length_a 5.638
_cell_length_b 5.638
_cell_length_c 4.947
_cell_angle_alpha 90.00
_cell_angle_beta 90.00
_cell_angle_gamma 90.00
loop_
_atom_site_label
_atom_site_type_symbol
_atom_site_fract_x
_atom_site_fract_y
_atom_site_fract_z
Ca1 Ca 0.000 0.000 0.000
La1 La 0.000 0.500 0.500
Zr1 Zr 0.500 0.500 0.000
Cl1 Cl 0.500 0.500 0.500
# formation energy without anion corrections	-375	meV per atom

# LiCaCl3, relaxed, DFT GGA-PBE
data_LiCaCl3
_chemical_formula_sum 'Li2 Ca2 Cl6'
_symmetry_space_group_name_H-M 'P 1 21/m 1'
_symmetry_Int_Tables_number 11
_cell_length_a 7.057
_cell_length_b 4.154
_cell_length_c 9.362
_cell_angle_alpha 90.00
_cell_angle_beta 91.93
_cell_angle_gamma 90.00
loop_
_symmetry_equiv_pos_as_xyz
'x,y,z'
'-x,-y,-z'
'-x,y+1/2,-z'
'x,-y+1/2,z'
loop_
_atom_site_label
_atom_site_type_symbol
_atom_site_fract_x
_atom_site_fract_y
_atom_site_fract_z
Li1 Li 0.098 0.250 0.090
Ca1 Ca 0.262 0.250 0.582
Cl1 Cl 0.009 0.750 0.649
Cl2 Cl 0.211 0.750 0.023
Cl3 Cl 0.496 0.250 0.348
# energy above the lowest structure with this stoichiometry	0.051	eV per atom
# formation energy without anion corrections	-2078	meV per atom

# LiCa2Cl, relaxed, DFT GGA-PBE
data_LiCa2Cl
_chemical_formula_sum 'Li1 Ca2 Cl1'
_symmetry_space_group_name_H-M 'P 4 m m'
_symmetry_Int_Tables_number 99
_cell_length_a 3.631
_cell_length_b 3.631
_cell_length_c 10.261
_cell_angle_alpha 90.00
_cell_angle_beta 90.00
_cell_angle_gamma 90.00
loop_
_symmetry_equiv_pos_as_xyz
'x,y,z'
'-y,x,z'
'-x,-y,z'
'y,-x,z'
'-x,y,z'
'y,x,z'
'x,-y,z'
'-y,-x,z'
loop_
_atom_site_label
_atom_site_type_symbol
_atom_site_fract_x
_atom_site_fract_y
_atom_site_fract_z
Li1 Li 0.000 0.000 0.000
Ca1 Ca 0.000 0.000 0.537
Ca2 Ca 0.500 0.500 0.240
Cl1 Cl 0.500 0.500 0.672
# energy above the lowest structure with this stoichiometry	0.054	eV per atom
# formation energy without anion corrections	-700	meV per atom

# LiCa4Cl, relaxed, DFT GGA-PBE
data_LiCa4Cl
_chemical_formula_sum 'Li4 Ca16 Cl4'
_symmetry_space_group_name_H-M 'F -4 3 m'
_symmetry_Int_Tables_number 216
_symmetry_space_group_name_Hall 'F -4 2 3'
_cell_length_a 10.102
_cell_length_b 10.102
_cell_length_c 10.102
_cell_angle_alpha 90.00
_cell_angle_beta 90.00
_cell_angle_gamma 90.00
loop_
_atom_site_label
_atom_site_type_symbol
_atom_site_fract_x
_atom_site_fract_y
_atom_site_fract_z
Li1 Li 0.000 0.000 0.000
Ca1 Ca 0.126 0.126 0.626
Cl1 Cl 0.250 0.250 0.250
# formation energy without anion corrections	97	meV per atom

# Li2CaCl, relaxed, DFT GGA-PBE
data_Li2CaCl
_chemical_formula_sum 'Li2 Ca1 Cl1'
_symmetry_space_group_name_H-M 'P 4/m m m'
_symmetry_Int_Tables_number 123
_symmetry_space_group_name_Hall '-P 4 2'
_cell_length_a 4.020
_cell_length_b 4.020
_cell_length_c 6.536
_cell_angle_alpha 90.00
_cell_angle_beta 90.00
_cell_angle_gamma 90.00
loop_
_atom_site_label
_atom_site_type_symbol
_atom_site_fract_x
_atom_site_fract_y
_atom_site_fract_z
Li1 Li 0.000 0.500 0.000
Ca1 Ca 0.000 0.000 0.500
Cl1 Cl 0.500 0.500 0.500
# energy above the lowest structure with this stoichiometry	0.158	eV per atom
# formation energy without anion corrections	-610	meV per atom

# LiCa2Cl, relaxed, DFT GGA-PBE
data_LiCa2Cl
_chemical_formula_sum 'Li2 Ca4 Cl2'
_symmetry_space_group_name_H-M 'C 1 2/m 1'
_symmetry_Int_Tables_number 12
_cell_length_a 6.711
_cell_length_b 3.866
_cell_length_c 9.412
_cell_angle_alpha 90.00
_cell_angle_beta 103.84
_cell_angle_gamma 90.00
loop_
_symmetry_equiv_pos_as_xyz
'x,y,z'
'-x,-y,-z'
'-x,y,-z'
'x,-y,z'
'x+1/2,y+1/2,z'
'-x+1/2,-y+1/2,-z'
'-x+1/2,y+1/2,-z'
'x+1/2,-y+1/2,z'
loop_
_atom_site_label
_atom_site_type_symbol
_atom_site_fract_x
_atom_site_fract_y
_atom_site_fract_z
Li1 Li 0.000 0.000 0.000
Ca1 Ca 0.241 0.000 0.727
Cl1 Cl 0.000 0.500 0.500
# energy above the lowest structure with this stoichiometry	0.014	eV per atom
# formation energy without anion corrections	-740	meV per atom

# LiCaCl2, relaxed, DFT GGA-PBE
data_LiCaCl2
_chemical_formula_sum 'Li2 Ca2 Cl4'
_symmetry_space_group_name_H-M 'I m m 2'
_symmetry_Int_Tables_number 44
_cell_length_a 3.567
_cell_length_b 4.116
_cell_length_c 13.966
_cell_angle_alpha 90.00
_cell_angle_beta 90.00
_cell_angle_gamma 90.00
loop_
_symmetry_equiv_pos_as_xyz
'x,y,z'
'-x,-y,z'
'-x,y,z'
'x,-y,z'
'x+1/2,y+1/2,z+1/2'
'-x+1/2,-y+1/2,z+1/2'
'-x+1/2,y+1/2,z+1/2'
'x+1/2,-y+1/2,z+1/2'
loop_
_atom_site_label
_atom_site_type_symbol
_atom_site_fract_x
_atom_site_fract_y
_atom_site_fract_z
Li1 Li 0.000 0.000 0.000
Ca1 Ca 0.000 0.500 0.759
Cl1 Cl 0.000 0.000 0.425
Cl2 Cl 0.000 0.500 0.218
# energy above the lowest structure with this stoichiometry	0.117	eV per atom
# formation energy without anion corrections	-1476	meV per atom